<a>
A relaxed structure of BaCaLa2. Source: Alexandria via LeMat-Bulk, functional PBE.

Cell lengths 6.6890, 6.6890, 6.6890 Å; angles 130.24, 130.24, 73.03 degrees
Fractional coordinates of all 4 atoms:
Ba 0.0000 0.0000 0.0000
Ca 0.2500 0.7500 0.5000
La 0.5000 0.5000 0.0000
La 0.7500 0.2500 0.5000

Summary:
magnetization: 0.0003 μB/atom
volume: 170.3 Å³ per cell

<b>
A relaxed structure of BaCaLa2. Source: Alexandria via LeMat-Bulk, functional PBE.

Cell lengths 3.8937, 3.8937, 11.4857 Å; angles 90.00, 90.00, 90.00 degrees
Fractional coordinates of all 4 atoms:
Ba 0.0000 0.0000 0.0000
Ca 0.5000 0.5000 0.2829
La 0.0000 0.0000 0.5230
La 0.5000 0.5000 0.7277

Summary:
magnetization: 0.0000 μB/atom
volume: 174.1 Å³ per cell

Winner for stability: <b>

<a>
A relaxed structure of Ba2CaLa2. Source: Alexandria via LeMat-Bulk, functional PBE.

Cell lengths 11.9686, 11.9686, 11.9686 Å; angles 157.23, 157.23, 32.43 degrees
Fractional coordinates of all 5 atoms:
Ba 0.1013 0.1013 0.0000
Ba 0.8987 0.8987 0.0000
Ca 0.5000 0.5000 0.0000
La 0.2500 0.7500 0.5000
La 0.7500 0.2500 0.5000

Summary:
magnetization: 0.0016 μB/atom
volume: 256.7 Å³ per cell

<b>
A relaxed structure of Ba2CaLa2. Source: Alexandria via LeMat-Bulk, functional PBE.

Cell lengths 10.5886, 10.5886, 4.1320 Å; angles 90.00, 90.00, 90.00 degrees
Fractional coordinates of all 10 atoms:
Ba 0.1824 0.3176 0.0000
Ba 0.3176 0.8176 0.0000
Ba 0.6824 0.1824 0.0000
Ba 0.8176 0.6824 0.0000
Ca 0.0000 0.0000 0.5000
Ca 0.5000 0.5000 0.5000
La 0.1165 0.6165 0.5000
La 0.3835 0.1165 0.5000
La 0.6165 0.8835 0.5000
La 0.8835 0.3835 0.5000

Summary:
magnetization: 0.0001 μB/atom
volume: 463.3 Å³ per cell

Winner for stability: <b>

<a>
A relaxed structure of BaCa2La2. Source: Alexandria via LeMat-Bulk, functional PBE.

Cell lengths 9.3550, 9.3550, 9.3550 Å; angles 148.04, 148.04, 45.83 degrees
Fractional coordinates of all 5 atoms:
Ba 0.0000 0.0000 0.0000
Ca 0.2500 0.7500 0.5000
Ca 0.7500 0.2500 0.5000
La 0.4144 0.4144 0.0000
La 0.5856 0.5856 0.0000

Summary:
magnetization: 0.0000 μB/atom
volume: 228.7 Å³ per cell

<b>
A relaxed structure of BaCa2La2. Source: Alexandria via LeMat-Bulk, functional PBE.

Cell lengths 10.3636, 10.3636, 4.1141 Å; angles 90.00, 90.00, 90.00 degrees
Fractional coordinates of all 10 atoms:
Ba 0.0000 0.0000 0.0000
Ba 0.5000 0.5000 0.0000
Ca 0.1786 0.3214 0.5000
Ca 0.3214 0.8214 0.5000
Ca 0.6786 0.1786 0.5000
Ca 0.8214 0.6786 0.5000
La 0.1117 0.6117 0.0000
La 0.3883 0.1117 0.0000
La 0.6117 0.8883 0.0000
La 0.8883 0.3883 0.0000

Summary:
magnetization: 0.0000 μB/atom
volume: 441.9 Å³ per cell

Winner for stability: <b>

<a>
A relaxed structure of BaCaLa2Os. Source: Alexandria via LeMat-Bulk, functional PBE.

Cell lengths 5.6460, 5.6460, 6.3735 Å; angles 90.00, 90.00, 90.00 degrees
Fractional coordinates of all 5 atoms:
Ba 0.0000 0.0000 0.0000
Ca 0.5000 0.5000 0.0000
La 0.0000 0.5000 0.5000
La 0.5000 0.0000 0.5000
Os 0.0000 0.0000 0.5000

Summary:
magnetization: 0.0000 μB/atom
volume: 203.2 Å³ per cell

<b>
A relaxed structure of BaCaLa2Os. Source: Alexandria via LeMat-Bulk, functional PBE.

Cell lengths 5.6581, 5.6581, 6.0053 Å; angles 90.00, 90.00, 90.00 degrees
Fractional coordinates of all 5 atoms:
Ba 0.0000 0.0000 0.0000
Ca 0.5000 0.5000 0.0000
La 0.0000 0.5000 0.5000
La 0.5000 0.0000 0.5000
Os 0.5000 0.5000 0.5000

Summary:
magnetization: 0.0000 μB/atom
volume: 192.3 Å³ per cell

Winner for stability: <b>

<a>
A relaxed structure of BaCaLa2Pd. Source: Alexandria via LeMat-Bulk, functional PBE.

Cell lengths 5.7987, 5.7987, 5.9959 Å; angles 90.00, 90.00, 90.00 degrees
Fractional coordinates of all 5 atoms:
Ba 0.0000 0.0000 0.0000
Ca 0.5000 0.5000 0.0000
La 0.0000 0.5000 0.5000
La 0.5000 0.0000 0.5000
Pd 0.5000 0.5000 0.5000

Summary:
magnetization: 0.0000 μB/atom
volume: 201.6 Å³ per cell

<b>
A relaxed structure of BaCaLa2Pd. Source: Alexandria via LeMat-Bulk, functional PBE.

Cell lengths 5.7564, 5.7564, 6.4297 Å; angles 90.00, 90.00, 90.00 degrees
Fractional coordinates of all 5 atoms:
Ba 0.0000 0.0000 0.0000
Ca 0.5000 0.5000 0.0000
La 0.0000 0.5000 0.5000
La 0.5000 0.0000 0.5000
Pd 0.0000 0.0000 0.5000

Summary:
magnetization: 0.0001 μB/atom
volume: 213.1 Å³ per cell

Winner for stability: <a>

<a>
A relaxed structure of BaCa2LaRu. Source: Alexandria via LeMat-Bulk, functional PBE.

Cell lengths 5.9129, 5.9129, 5.3127 Å; angles 90.00, 90.00, 90.00 degrees
Fractional coordinates of all 5 atoms:
Ba 0.0000 0.0000 0.0000
Ca 0.0000 0.5000 0.5000
Ca 0.5000 0.0000 0.5000
La 0.5000 0.5000 0.0000
Ru 0.5000 0.5000 0.5000

Summary:
magnetization: 0.0000 μB/atom
volume: 185.7 Å³ per cell

<b>
A relaxed structure of BaCa2LaRu. Source: Alexandria via LeMat-Bulk, functional PBE.

Cell lengths 5.9857, 5.9857, 5.0663 Å; angles 90.00, 90.00, 90.00 degrees
Fractional coordinates of all 5 atoms:
Ba 0.0000 0.0000 0.0000
Ca 0.0000 0.5000 0.0000
Ca 0.5000 0.0000 0.0000
La 0.5000 0.5000 0.5000
Ru 0.0000 0.0000 0.5000

Summary:
magnetization: 0.0000 μB/atom
volume: 181.5 Å³ per cell

Winner for stability: <a>

<a>
A relaxed structure of BaLiCa2. Source: Alexandria via LeMat-Bulk, functional PBE.

Cell lengths 5.3342, 5.3342, 6.0467 Å; angles 90.00, 90.00, 90.00 degrees
Fractional coordinates of all 4 atoms:
Ba 0.0000 0.0000 0.0000
Li 0.5000 0.5000 0.0000
Ca 0.0000 0.5000 0.5000
Ca 0.5000 0.0000 0.5000

Summary:
magnetization: 0.0000 μB/atom
volume: 172.0 Å³ per cell

<b>
A relaxed structure of BaLiCa2. Source: Alexandria via LeMat-Bulk, functional PBE.

Cell lengths 6.1488, 6.1488, 6.1488 Å; angles 60.00, 60.00, 60.00 degrees
Fractional coordinates of all 4 atoms:
Ba 0.0000 0.0000 0.0000
Li 0.5000 0.5000 0.5000
Ca 0.2500 0.2500 0.2500
Ca 0.7500 0.7500 0.7500

Summary:
magnetization: 0.0000 μB/atom
volume: 164.4 Å³ per cell

<c>
A relaxed structure of BaLiCa2. Source: Alexandria via LeMat-Bulk, functional PBE.

Cell lengths 4.0146, 4.0146, 12.3172 Å; angles 99.21, 99.21, 60.11 degrees
Fractional coordinates of all 4 atoms:
Ba 0.0000 0.0000 0.0000
Li 0.1665 0.1665 0.4997
Ca 0.5713 0.5713 0.7138
Ca 0.7619 0.7619 0.2858

Summary:
magnetization: 0.0003 μB/atom
volume: 169.1 Å³ per cell

Winner for stability: <a>

<a>
A relaxed structure of BaLiCa2. Source: Alexandria via LeMat-Bulk, functional PBE.

Cell lengths 7.2450, 7.2450, 6.3535 Å; angles 115.89, 115.89, 34.60 degrees
Fractional coordinates of all 4 atoms:
Ba 0.0000 0.0000 0.0000
Li 0.7369 0.7369 0.2358
Ca 0.2160 0.2160 0.7151
Ca 0.4438 0.4438 0.4439

Summary:
magnetization: 0.0002 μB/atom
volume: 168.4 Å³ per cell

<b>
A relaxed structure of BaLiCa2. Source: Alexandria via LeMat-Bulk, functional PBE.

Cell lengths 10.3756, 10.3756, 10.3756 Å; angles 140.57, 140.57, 57.00 degrees
Fractional coordinates of all 8 atoms:
Ba 0.0000 0.0000 0.0000
Ba 0.7500 0.2500 0.5000
Li 0.2500 0.7500 0.5000
Li 0.5000 0.5000 0.0000
Ca 0.3724 0.6250 0.2474
Ca 0.3750 0.6224 0.7474
Ca 0.3776 0.1250 0.7526
Ca 0.8750 0.6276 0.2526

Summary:
magnetization: 0.0000 μB/atom
volume: 446.9 Å³ per cell

Winner for stability: <a>

<a>
A relaxed structure of BaLiCa4. Source: Alexandria via LeMat-Bulk, functional PBE.

Cell lengths 7.3480, 7.3480, 7.3480 Å; angles 60.00, 60.00, 60.00 degrees
Fractional coordinates of all 6 atoms:
Ba 0.0000 0.0000 0.0000
Li 0.2500 0.2500 0.2500
Ca 0.1252 0.6249 0.6249
Ca 0.6249 0.1252 0.6249
Ca 0.6249 0.6249 0.1252
Ca 0.6249 0.6249 0.6249

Summary:
magnetization: 0.0000 μB/atom
volume: 280.5 Å³ per cell

<b>
A relaxed structure of BaLiCa4. Source: Alexandria via LeMat-Bulk, functional PBE.

Cell lengths 10.5497, 10.5497, 10.5497 Å; angles 136.88, 136.88, 62.62 degrees
Fractional coordinates of all 12 atoms:
Ba 0.0000 0.0000 0.0000
Ba 0.5000 0.5000 0.0000
Li 0.2500 0.2500 0.0000
Li 0.7500 0.7500 0.0000
Ca 0.0066 0.5066 0.8324
Ca 0.1742 0.0066 0.5000
Ca 0.3258 0.8258 0.8324
Ca 0.4934 0.3258 0.5000
Ca 0.5066 0.6742 0.5000
Ca 0.6742 0.1742 0.1676
Ca 0.8258 0.9934 0.5000
Ca 0.9934 0.4934 0.1676

Summary:
magnetization: 0.0000 μB/atom
volume: 541.8 Å³ per cell

<c>
A relaxed structure of BaLiCa4. Source: Alexandria via LeMat-Bulk, functional PBE.

Cell lengths 9.1617, 9.1617, 6.9476 Å; angles 100.14, 100.14, 112.93 degrees
Fractional coordinates of all 12 atoms:
Ba 0.0970 0.9030 0.7500
Ba 0.9030 0.0970 0.2500
Li 0.4996 0.5004 0.2500
Li 0.5004 0.4996 0.7500
Ca 0.1036 0.3460 0.8741
Ca 0.2196 0.5777 0.4521
Ca 0.3460 0.1036 0.3741
Ca 0.4223 0.7804 0.0479
Ca 0.5777 0.2196 0.9521
Ca 0.6540 0.8964 0.6259
Ca 0.7804 0.4223 0.5479
Ca 0.8964 0.6540 0.1259

Summary:
magnetization: 0.0000 μB/atom
volume: 509.1 Å³ per cell

Winner for stability: <c>

<a>
A relaxed structure of Ba2LiCa2. Source: Alexandria via LeMat-Bulk, functional PBE.

Cell lengths 12.8672, 12.8672, 12.8672 Å; angles 160.71, 160.71, 27.41 degrees
Fractional coordinates of all 5 atoms:
Ba 0.0871 0.0871 0.0000
Ba 0.9129 0.9129 0.0000
Li 0.5000 0.5000 0.0000
Ca 0.2972 0.2972 0.0000
Ca 0.7028 0.7028 0.0000

Summary:
magnetization: 0.0000 μB/atom
volume: 232.4 Å³ per cell

<b>
A relaxed structure of Ba2LiCa2. Source: Alexandria via LeMat-Bulk, functional PBE.

Cell lengths 9.0546, 9.0546, 6.1367 Å; angles 90.00, 90.00, 90.00 degrees
Fractional coordinates of all 10 atoms:
Ba 0.1510 0.3490 0.0000
Ba 0.3490 0.8490 0.0000
Ba 0.6510 0.1510 0.0000
Ba 0.8490 0.6510 0.0000
Li 0.0000 0.0000 0.0000
Li 0.5000 0.5000 0.0000
Ca 0.1584 0.6584 0.5000
Ca 0.3416 0.1584 0.5000
Ca 0.6584 0.8416 0.5000
Ca 0.8416 0.3416 0.5000

Summary:
magnetization: 0.0000 μB/atom
volume: 503.1 Å³ per cell

Winner for stability: <a>

<a>
A relaxed structure of Ba2LiCa2. Source: Alexandria via LeMat-Bulk, functional PBE.

Cell lengths 8.5476, 8.5476, 6.6071 Å; angles 90.00, 90.00, 90.00 degrees
Fractional coordinates of all 10 atoms:
Ba 0.1737 0.3263 0.0000
Ba 0.3263 0.8263 0.0000
Ba 0.6737 0.1737 0.0000
Ba 0.8263 0.6737 0.0000
Li 0.0000 0.0000 0.5000
Li 0.5000 0.5000 0.5000
Ca 0.1506 0.6506 0.5000
Ca 0.3494 0.1506 0.5000
Ca 0.6506 0.8494 0.5000
Ca 0.8494 0.3494 0.5000

Summary:
magnetization: 0.0000 μB/atom
volume: 482.7 Å³ per cell

<b>
A relaxed structure of Ba2LiCa2. Source: Alexandria via LeMat-Bulk, functional PBE.

Cell lengths 11.5718, 11.5718, 11.5718 Å; angles 156.03, 156.03, 34.15 degrees
Fractional coordinates of all 5 atoms:
Ba 0.0940 0.0940 0.0000
Ba 0.9060 0.9060 0.0000
Li 0.5000 0.5000 0.0000
Ca 0.2500 0.7500 0.5000
Ca 0.7500 0.2500 0.5000

Summary:
magnetization: 0.0000 μB/atom
volume: 255.4 Å³ per cell

Winner for stability: <a>

<a>
A relaxed structure of BaLiCa6. Source: Alexandria via LeMat-Bulk, functional PBE.

Cell lengths 8.9490, 8.9490, 4.2130 Å; angles 90.00, 90.00, 90.00 degrees
Fractional coordinates of all 8 atoms:
Ba 0.0000 0.0000 0.0000
Li 0.5000 0.5000 0.0000
Ca 0.0000 0.5000 0.0000
Ca 0.2825 0.2825 0.5000
Ca 0.2825 0.7175 0.5000
Ca 0.5000 0.0000 0.0000
Ca 0.7175 0.2825 0.5000
Ca 0.7175 0.7175 0.5000

Summary:
magnetization: 0.0000 μB/atom
volume: 337.4 Å³ per cell

<b>
A relaxed structure of BaLiCa6. Source: Alexandria via LeMat-Bulk, functional PBE.

Cell lengths 5.3084, 5.3084, 13.0966 Å; angles 90.00, 90.00, 90.00 degrees
Fractional coordinates of all 8 atoms:
Ba 0.0000 0.0000 0.0000
Li 0.0000 0.0000 0.5000
Ca 0.0000 0.5000 0.3483
Ca 0.0000 0.5000 0.6517
Ca 0.5000 0.0000 0.3483
Ca 0.5000 0.0000 0.6517
Ca 0.5000 0.5000 0.1395
Ca 0.5000 0.5000 0.8605

Summary:
magnetization: 0.0000 μB/atom
volume: 369.1 Å³ per cell

Winner for stability: <a>